This record from Alexandria via LeMat-Bulk describes a relaxed Zr6TlIn2 crystal. The functional is GGA-PBE.

```
Zr6TlIn2
1.0
-2.575 -1.362 -4.241
-4.836 -6.532 1.914
-7.912 -1.540 2.178
Zr Tl In
6 1 2
Direct
0.192 0.559 0.056 Zr
0.808 0.441 0.944 Zr
0.808 0.944 0.441 Zr
0.000 0.248 0.752 Zr
0.000 0.752 0.248 Zr
0.192 0.056 0.559 Zr
0.500 0.500 0.500 Tl
0.386 0.114 0.114 In
0.614 0.886 0.886 In
```

SG: Immm
Energy above the most stable polymorph in this dataset: 4.24 eV/f.u.
ΔH_f (0 K): 297 meV per atom